## BaPbO3 (SCAN)

Data for BaPbO3 at its PBEsol-relaxed geometry.

Cell and atoms, written as CIF:
```
data_BaPbO3
_chemical_formula_sum 'Ba2 Pb2 O6'
_cell_length_a 6.0087
_cell_length_b 6.0901
_cell_length_c 6.0087
_cell_angle_alpha 60.44
_cell_angle_beta 90.00
_cell_angle_gamma 119.56
_symmetry_space_group_name_H-M 'P 1'
_symmetry_Int_Tables_number 1
loop_
_symmetry_equiv_pos_as_xyz
'x,y,z'
loop_
_atom_site_label
_atom_site_fract_x
_atom_site_fract_y
_atom_site_fract_z
Ba1 0.2500 0.5000 0.2500
Pb1 0.5000 0.0000 0.5000
O1 0.1986 0.0000 0.6986
O2 0.3014 0.0000 0.1986
O3 0.6986 0.0000 0.8014
O4 0.7500 0.5000 0.2500
O5 0.8014 0.0000 0.3014
Ba2 0.7500 0.5000 0.7500
O6 0.2500 0.5000 0.7500
Pb2 0.0000 0.0000 0.0000
```

Properties
Formation energy from raw total energies ... -1.85 eV per atom
V ... 157.53 Å³/cell
Uncorrected energy ... -28.651 eV/atom
Density of states at the Fermi level ... 0.08 states/eV/atom
M_tot ... 0.0 μB/cell

---

## TiCrGe2P (SCAN)

Data for TiCrGe2P at its PBEsol-relaxed geometry.

Cell and atoms, written as CIF:
```
data_TiCrGe2P
_chemical_formula_sum 'Ti1 Cr1 Ge2 P1'
_cell_length_a 4.2579
_cell_length_b 4.5981
_cell_length_c 4.5981
_cell_angle_alpha 90.00
_cell_angle_beta 90.00
_cell_angle_gamma 90.00
_symmetry_space_group_name_H-M 'P 1'
_symmetry_Int_Tables_number 1
loop_
_symmetry_equiv_pos_as_xyz
'x,y,z'
loop_
_atom_site_label
_atom_site_fract_x
_atom_site_fract_y
_atom_site_fract_z
Cr1 0.0000 0.0000 0.0000
Ti1 0.5000 0.5000 0.5000
Ge1 0.0000 0.0000 0.5000
Ge2 0.0000 0.5000 0.0000
P1 0.5000 0.0000 0.0000
```

Properties
ΔH_f (0 K) ... 432 meV/atom
V ... 90.02 Å³/cell
Uncorrected energy ... -16.166 eV/atom
Density of states at the Fermi level ... 0.85 states/eV/atom
M_tot ... 3.5 μB/cell

---

## Ca2SiPd (SCAN)

Data for Ca2SiPd at its PBEsol-relaxed geometry.

Cell and atoms, written as CIF:
```
data_Ca2SiPd
_chemical_formula_sum 'Ca4 Si2 Pd2'
_cell_length_a 5.9588
_cell_length_b 6.2701
_cell_length_c 6.2701
_cell_angle_alpha 76.95
_cell_angle_beta 61.63
_cell_angle_gamma 61.63
_symmetry_space_group_name_H-M 'P 1'
_symmetry_Int_Tables_number 1
loop_
_symmetry_equiv_pos_as_xyz
'x,y,z'
loop_
_atom_site_label
_atom_site_fract_x
_atom_site_fract_y
_atom_site_fract_z
Si1 0.2500 0.5000 0.5000
Pd1 0.0000 0.0000 0.0000
Ca1 0.1046 0.0204 0.5204
Ca2 0.3750 0.5204 0.9796
Pd2 0.7500 0.5000 0.5000
Ca3 0.6454 0.9796 0.4796
Si2 0.5000 0.0000 0.0000
Ca4 0.8750 0.4796 0.0204
```

Properties
Formation energy from raw total energies ... -0.11 eV per atom
V ... 181.37 Å³/cell
Uncorrected energy ... -15.637 eV/atom
Density of states at the Fermi level ... 0.93 states/eV/atom
M_tot ... 0.0 μB/cell

---

## Ta2OsRu (SCAN)

Data for Ta2OsRu at its PBEsol-relaxed geometry.

Cell and atoms, written as CIF:
```
data_Ta2OsRu
_chemical_formula_sum 'Ta2 Os1 Ru1'
_cell_length_a 4.4179
_cell_length_b 4.4179
_cell_length_c 4.4179
_cell_angle_alpha 87.07
_cell_angle_beta 61.67
_cell_angle_gamma 118.33
_symmetry_space_group_name_H-M 'P 1'
_symmetry_Int_Tables_number 1
loop_
_symmetry_equiv_pos_as_xyz
'x,y,z'
loop_
_atom_site_label
_atom_site_fract_x
_atom_site_fract_y
_atom_site_fract_z
Ta1 0.5000 0.7500 0.7500
Ru1 0.0000 0.5000 0.5000
Ta2 0.5000 0.2500 0.2500
Os1 0.0000 0.0000 0.0000
```

Properties
ΔH_f (0 K) ... -366 meV/atom
Excess energy over the best structure of this formula in the dataset ... 24 meV per atom
V ... 62.43 Å³/cell
Uncorrected energy ... -60.334 eV/atom
Density of states at the Fermi level ... 1.05 states/eV/atom
M_tot ... 0.0 μB/cell

---

## Mg2Ag (SCAN)

Data for Mg2Ag at its PBEsol-relaxed geometry.

Cell and atoms, written as CIF:
```
data_Mg2Ag
_chemical_formula_sum 'Mg4 Ag2'
_cell_length_a 3.6216
_cell_length_b 5.4694
_cell_length_c 6.3862
_cell_angle_alpha 105.86
_cell_angle_beta 90.00
_cell_angle_gamma 109.33
_symmetry_space_group_name_H-M 'P 1'
_symmetry_Int_Tables_number 1
loop_
_symmetry_equiv_pos_as_xyz
'x,y,z'
loop_
_atom_site_label
_atom_site_fract_x
_atom_site_fract_y
_atom_site_fract_z
Mg1 0.3611 0.7221 0.7221
Mg2 0.0423 0.0845 0.5392
Ag1 0.7013 0.4026 0.3872
Mg3 0.6800 0.3601 0.9056
Mg4 0.3612 0.7223 0.2222
Ag2 0.0208 0.0417 0.0571
```

Properties
ΔH_f (0 K) ... -154 meV/atom
V ... 114.25 Å³/cell
Uncorrected energy ... -13.926 eV/atom
Density of states at the Fermi level ... 0.27 states/eV/atom
M_tot ... 0.0 μB/cell

---

## Li2MnO2F (SCAN)

Data for Li2MnO2F at its PBEsol-relaxed geometry.

Cell and atoms, written as CIF:
```
data_Li2MnO2F
_chemical_formula_sum 'Li8 Mn4 O8 F4'
_cell_length_a 4.9939
_cell_length_b 5.1048
_cell_length_c 9.7156
_cell_angle_alpha 84.32
_cell_angle_beta 77.94
_cell_angle_gamma 60.98
_symmetry_space_group_name_H-M 'P 1'
_symmetry_Int_Tables_number 1
loop_
_symmetry_equiv_pos_as_xyz
'x,y,z'
loop_
_atom_site_label
_atom_site_fract_x
_atom_site_fract_y
_atom_site_fract_z
Mn1 0.7633 0.5006 0.7532
F1 0.4343 0.8421 0.6092
O1 0.3186 0.1571 0.1471
F2 0.5657 0.1579 0.3908
Li1 0.5000 0.5000 0.5000
F3 0.6267 0.4731 0.1186
O2 0.1257 0.4807 0.6384
O3 0.2424 0.7897 0.3566
Li2 0.0000 0.5000 0.0000
O4 0.9398 0.8237 0.1268
Mn2 0.2367 0.4994 0.2468
Li3 0.3009 0.8729 0.9992
Li4 0.6991 0.1271 0.0008
Li5 0.9421 0.1412 0.2532
O5 0.0602 0.1763 0.8732
Li6 0.1373 0.1834 0.5049
Li7 0.8627 0.8166 0.4951
O6 0.8743 0.5193 0.3616
Li8 0.0579 0.8588 0.7468
O7 0.7576 0.2103 0.6434
O8 0.6814 0.8429 0.8529
Mn3 0.4093 0.1705 0.7492
Mn4 0.5907 0.8295 0.2508
F4 0.3733 0.5269 0.8814
```

Properties
Formation energy from raw total energies ... -2.46 eV per atom
Excess energy over the best structure of this formula in the dataset ... 75 meV per atom
V ... 211.80 Å³/cell
Uncorrected energy ... -8.970 eV/atom
M_tot ... 16.0 μB/cell

---

## Ba3NaAu (SCAN)

Data for Ba3NaAu at its PBEsol-relaxed geometry.

Cell and atoms, written as CIF:
```
data_Ba3NaAu
_chemical_formula_sum 'Ba3 Na1 Au1'
_cell_length_a 6.3642
_cell_length_b 6.3642
_cell_length_c 6.3642
_cell_angle_alpha 90.00
_cell_angle_beta 90.00
_cell_angle_gamma 90.00
_symmetry_space_group_name_H-M 'P 1'
_symmetry_Int_Tables_number 1
loop_
_symmetry_equiv_pos_as_xyz
'x,y,z'
loop_
_atom_site_label
_atom_site_fract_x
_atom_site_fract_y
_atom_site_fract_z
Au1 0.0000 0.0000 0.0000
Na1 0.5000 0.5000 0.5000
Ba1 0.5000 0.0000 0.0000
Ba2 0.0000 0.0000 0.5000
Ba3 0.0000 0.5000 0.0000
```

Properties
ΔH_f (0 K) ... -387 meV/atom
V ... 257.76 Å³/cell
Uncorrected energy ... -38.792 eV/atom
Density of states at the Fermi level ... 0.71 states/eV/atom
M_tot ... 0.0 μB/cell

---

## CdPtF3 (SCAN)

Data for CdPtF3 at its PBEsol-relaxed geometry.

Cell and atoms, written as CIF:
```
data_CdPtF3
_chemical_formula_sum 'Cd1 Pt1 F3'
_cell_length_a 4.2557
_cell_length_b 4.2557
_cell_length_c 4.2557
_cell_angle_alpha 90.00
_cell_angle_beta 90.00
_cell_angle_gamma 90.00
_symmetry_space_group_name_H-M 'P 1'
_symmetry_Int_Tables_number 1
loop_
_symmetry_equiv_pos_as_xyz
'x,y,z'
loop_
_atom_site_label
_atom_site_fract_x
_atom_site_fract_y
_atom_site_fract_z
F1 0.5000 0.0000 0.0000
Cd1 0.5000 0.5000 0.5000
F2 0.0000 0.5000 0.0000
F3 0.0000 0.0000 0.5000
Pt1 0.0000 0.0000 0.0000
```

Properties
Formation energy from raw total energies ... -0.88 eV per atom
V ... 77.08 Å³/cell
Uncorrected energy ... -23.130 eV/atom
Density of states at the Fermi level ... 0.38 states/eV/atom
M_tot ... 0.7 μB/cell